1.
First-principles (PBE) data for a geometry-optimized AlZnCuAg structure, as listed in the Alexandria database.

Geometry as CIF:
```
data_AlZnCuAg
_chemical_formula_sum 'Al1 Zn1 Cu1 Ag1'
_symmetry_space_group_name_H-M 'P 1 m 1'
_symmetry_Int_Tables_number 6
_cell_length_a 2.9567
_cell_length_b 2.9064
_cell_length_c 6.9091
_cell_angle_alpha 90.00
_cell_angle_beta 90.34
_cell_angle_gamma 90.00
loop_
_symmetry_equiv_pos_as_xyz
'x,y,z'
'x,-y,z'
loop_
_atom_site_label
_atom_site_type_symbol
_atom_site_fract_x
_atom_site_fract_y
_atom_site_fract_z
Al1 Al 0.0000 0.0000 0.0000
Zn1 Zn 0.0020 0.0000 0.4424
Cu1 Cu 0.5007 0.5000 0.2175
Ag1 Ag 0.5029 0.5000 0.7203
```

=====

2.
First-principles (PBE) data for a geometry-optimized Al2Zn2Cu2Ag structure, as listed in the Alexandria database.

Geometry as CIF:
```
data_Al2Zn2Cu2Ag
_chemical_formula_sum 'Al4 Zn4 Cu4 Ag2'
_symmetry_space_group_name_H-M 'C 1 2/m 1'
_symmetry_Int_Tables_number 12
_cell_length_a 8.6830
_cell_length_b 3.8495
_cell_length_c 6.1372
_cell_angle_alpha 90.00
_cell_angle_beta 94.71
_cell_angle_gamma 90.00
loop_
_symmetry_equiv_pos_as_xyz
'x,y,z'
'-x,-y,-z'
'-x,y,-z'
'x,-y,z'
'x+1/2,y+1/2,z'
'-x+1/2,-y+1/2,-z'
'-x+1/2,y+1/2,-z'
'x+1/2,-y+1/2,z'
loop_
_atom_site_label
_atom_site_type_symbol
_atom_site_fract_x
_atom_site_fract_y
_atom_site_fract_z
Al1 Al 0.2142 0.0000 0.1659
Zn1 Zn 0.0747 0.0000 0.6937
Cu1 Cu 0.1457 0.5000 0.4335
Ag1 Ag 0.0000 0.5000 0.0000
```

=====

| no. | formation energy from the elements (eV/atom) | total moment (μB per atom) |
| --- | --- | --- |
| 1 | -0.09 | 0.00 |
| 2 | -0.05 | 0.00 |